Arrangement 1

Computed, not measured: a geometry-optimized La2YHf structure at the GGA-PBE level of DFT.

It has space group R-3m (No. 166, hexagonal axes), with a = 3.3893 Å, b = 3.3893 Å, c = 37.1186 Å, α = 90.00°, β = 90.00° and γ = 120.00°. The distinct sites, in fractional coordinates, are La at (0.0000, 0.0000, 0.0826), Y at (0.0000, 0.0000, 0.5000) and Hf at (0.0000, 0.0000, 0.0000).

=====

Arrangement 2

Computed, not measured: a geometry-optimized La2YHf structure at the GGA-PBE level of DFT.

It has space group Fm-3m (No. 225), with a = 7.896 Å, b = 7.896 Å, c = 7.896 Å, α = 90.00°, β = 90.00° and γ = 90.00°. The distinct sites, in fractional coordinates, are La at (0.250, 0.250, 0.250), Y at (0.000, 0.000, 0.000) and Hf at (0.000, 0.000, 0.500).

=====

Most stable: arrangement 2 (next structure +150 meV per atom)

=====

Arrangement 1

Computed, not measured: a geometry-optimized LaHfZn structure at the GGA-PBE level of DFT.

It has space group I4mm (No. 107), with a = 3.386 Å, b = 3.386 Å, c = 12.716 Å, α = 90.00°, β = 90.00° and γ = 90.00°. The distinct sites, in fractional coordinates, are La at (0.000, 0.000, 0.000), Hf at (0.000, 0.000, 0.306) and Zn at (0.000, 0.000, 0.683).

=====

Arrangement 2

Computed, not measured: a geometry-optimized LaHfZn structure at the GGA-PBE level of DFT.

It has space group P4/nmm (No. 129, origin choice 2), with a = 4.565 Å, b = 4.565 Å, c = 7.358 Å, α = 90.00°, β = 90.00° and γ = 90.00°. The distinct sites, in fractional coordinates, are La at (0.250, 0.250, 0.148), Hf at (0.250, 0.750, 0.500) and Zn at (0.250, 0.250, 0.723).

=====

Most stable: arrangement 2 (next structure +45 meV per atom)

=====

Arrangement 1

Computed, not measured: a geometry-optimized LaHf2Zn2 structure at the GGA-PBE level of DFT.

It has space group I4/mmm (No. 139), with a = 4.453 Å, b = 4.453 Å, c = 12.024 Å, α = 90.00°, β = 90.00° and γ = 90.00°. The distinct sites, in fractional coordinates, are La at (0.000, 0.000, 0.000), Hf at (0.000, 0.000, 0.378) and Zn at (0.000, 0.500, 0.250).

=====

Arrangement 2

Computed, not measured: a geometry-optimized LaHf2Zn2 structure at the GGA-PBE level of DFT.

It has space group I4/mmm (No. 139), with a = 4.380 Å, b = 4.380 Å, c = 12.157 Å, α = 90.00°, β = 90.00° and γ = 90.00°. The distinct sites, in fractional coordinates, are La at (0.000, 0.000, 0.000), Hf at (0.000, 0.500, 0.250) and Zn at (0.000, 0.000, 0.396).

=====

Most stable: arrangement 2 (next structure +201 meV per atom)